The following is a PBE-GGA calculation of an optimized crystal structure of Na2GaAg, from Alexandria via LeMat-Bulk.

Cell: 3.1249 3.1249 11.1209 Å, 81.92 81.92 60.00°
With the nearest neighbours (Å) after each atom.
Fractional coordinates of all 4 atoms:
Na (0.0912, 0.0912, 0.7263)  1 Ga 3.00, 3 Ag 3.07, 6 Na 3.12
Na (0.9088, 0.9088, 0.2737)  1 Ga 3.00, 3 Ag 3.07, 6 Na 3.12
Ga (0.0000, 0.0000, 0.0000)  2 Na 3.00, 6 Ga 3.12
Ag (0.5000, 0.5000, 0.5000)  6 Na 3.07, 6 Ag 3.12

## Properties
DOS(E_F), states/eV/cell: 2.22
Crystal system: trigonal
Spin magnetization, μB per cell: 0.00
Calculated formation energy, meV per atom: 130

The following is a PBE-GGA calculation of an optimized crystal structure of Na2GaAg2, from Alexandria via LeMat-Bulk.

Cell: 5.8239 5.8239 8.0153 Å, 78.81 78.81 60.44°
With the nearest neighbours (Å) after each atom.
Fractional coordinates of all 10 atoms:
Na (0.5238, 0.7775, 0.8476)  6 Ag 3.13-3.18, 3 Ga 3.35-3.49
Na (0.2225, 0.4762, 0.6524)  6 Ag 3.13-3.18, 3 Ga 3.35-3.49
Na (0.7775, 0.5238, 0.3476)  6 Ag 3.13-3.18, 3 Ga 3.35-3.49
Na (0.4762, 0.2225, 0.1524)  6 Ag 3.13-3.18, 3 Ga 3.35-3.49
Ag (0.9995, 0.7421, 0.9976)  2 Ga 2.64-2.68, 1 Ag 2.81
Ag (0.7421, 0.9995, 0.4976)  2 Ga 2.64-2.68, 1 Ag 2.81
Ag (0.0005, 0.2579, 0.0024)  2 Ga 2.64-2.68, 1 Ag 2.81
Ag (0.2579, 0.0005, 0.5024)  2 Ga 2.64-2.68, 1 Ag 2.81
Ga (0.1514, 0.8486, 0.2500)  4 Ag 2.64-2.68
Ga (0.8486, 0.1514, 0.7500)  4 Ag 2.64-2.68

## Properties
DOS(E_F), states/eV/cell: 4.66
Relative energy among the computed polymorphs, meV/atom: 0
Crystal system: monoclinic
Spin magnetization, μB per cell: 0.00
Calculated formation energy, meV per atom: -68